The following is a PBE calculation of a relaxed structure of Ba2LiCdHg6, from the Alexandria database.

a = 10.720 Å, b = 10.741 Å, c = 7.333 Å
α = 90.00°, β = 133.06°, γ = 90.00°
Space group C2/m (No. 12)
Symmetry-distinct sites (fractional):
Ba (0.000, 0.249, 0.000)
Li (0.000, 0.000, 0.500)
Cd (0.000, 0.500, 0.500)
Hg (0.000, 0.236, 0.500)
Hg (0.237, 0.000, 0.503)
Hg (0.240, 0.000, 0.971)

**Density of states at the Fermi level**: 10.500 states/eV/cell
**Calculated volume**: 617 Å³/cell
**Energy of formation**: -0.29 eV/atom
**Energy**: -1.1405 eV per atom


The following is a PBE calculation of a relaxed structure of BaLuCdHg, from the Alexandria database.

a = 7.889 Å, b = 7.889 Å, c = 7.889 Å
α = 90.00°, β = 90.00°, γ = 90.00°
Space group F-43m (No. 216)
Symmetry-distinct sites (fractional):
Ba (0.000, 0.000, 0.000)
Lu (0.000, 0.000, 0.500)
Cd (0.250, 0.250, 0.250)
Hg (0.250, 0.250, 0.750)

**Density of states at the Fermi level**: 13.549 states/eV/cell
**Calculated volume**: 491 Å³/cell
**Energy of formation**: -0.23 eV/atom
**Energy**: -2.1477 eV per atom


The following is a PBE calculation of a relaxed structure of BaMgCd2Hg8, from the Alexandria database.

a = 9.245 Å, b = 6.140 Å, c = 11.912 Å
α = 90.00°, β = 90.32°, γ = 90.00°
Space group C2/m (No. 12)
Symmetry-distinct sites (fractional):
Ba (0.000, 0.000, 0.000)
Mg (0.000, 0.000, 0.500)
Cd (0.192, 0.500, 0.171)
Hg (0.042, 0.244, 0.706)
Hg (0.154, 0.500, 0.912)
Hg (0.177, 0.500, 0.485)

**Density of states at the Fermi level**: 5.706 states/eV/cell
**Calculated volume**: 676 Å³/cell
**Energy of formation**: -0.13 eV/atom
**Energy**: -0.7801 eV per atom


The following is a PBE calculation of a relaxed structure of BaMgCd2Hg, from the Alexandria database.

a = 4.702 Å, b = 4.721 Å, c = 13.155 Å
α = 90.00°, β = 90.00°, γ = 90.00°
Space group Imm2 (No. 44)
Symmetry-distinct sites (fractional):
Ba (0.000, 0.000, 0.000)
Mg (0.000, 0.500, 0.755)
Cd (0.000, 0.000, 0.616)
Cd (0.000, 0.500, 0.250)
Hg (0.000, 0.000, 0.390)

**Density of states at the Fermi level**: 8.051 states/eV/cell
**Calculated volume**: 292 Å³/cell
**E above lowest polymorph**: 0 kJ/mol of formula units
**Energy of formation**: -0.31 eV/atom
**Energy**: -1.4375 eV per atom


The following is a PBE calculation of a relaxed structure of Ba2Mg6CdHg, from the Alexandria database.

a = 10.832 Å, b = 10.823 Å, c = 7.652 Å
α = 90.00°, β = 134.85°, γ = 90.00°
Space group C2/m (No. 12)
Symmetry-distinct sites (fractional):
Ba (0.000, 0.250, 0.000)
Mg (0.000, 0.249, 0.500)
Mg (0.249, 0.000, 0.500)
Mg (0.249, 0.000, 0.997)
Cd (0.000, 0.500, 0.500)
Hg (0.000, 0.000, 0.500)

**Density of states at the Fermi level**: 15.407 states/eV/cell
**Calculated volume**: 636 Å³/cell
**Energy of formation**: -0.02 eV/atom
**Energy**: -1.4804 eV per atom


The following is a PBE calculation of a relaxed structure of BaMg2CdHg2, from the Alexandria database.

a = 4.8815 Å, b = 4.8815 Å, c = 8.1276 Å
α = 90.00°, β = 90.00°, γ = 120.00°
Space group P-3m1 (No. 164)
Symmetry-distinct sites (fractional):
Ba (0.0000, 0.0000, 0.0000)
Mg (0.3333, 0.6667, 0.6392)
Cd (0.0000, 0.0000, 0.5000)
Hg (0.3333, 0.6667, 0.2640)

**Density of states at the Fermi level**: 2.699 states/eV/cell
**Calculated volume**: 168 Å³/cell
**Energy of formation**: -0.32 eV/atom
**Energy**: -1.4224 eV per atom


The following is a PBE calculation of a relaxed structure of BaMgCd2Hg4, from the Alexandria database.

a = 4.9717 Å, b = 4.9717 Å, c = 30.2885 Å
α = 90.00°, β = 90.00°, γ = 120.00°
Space group R-3m (No. 166, hexagonal axes)
Symmetry-distinct sites (fractional):
Ba (0.0000, 0.0000, 0.0000)
Mg (0.0000, 0.0000, 0.5000)
Cd (0.0000, 0.0000, 0.2407)
Hg (0.0000, 0.0000, 0.1338)
Hg (0.0000, 0.0000, 0.3966)

**Density of states at the Fermi level**: 9.976 states/eV/cell
**Calculated volume**: 648 Å³/cell
**Energy of formation**: -0.25 eV/atom
**Energy**: -1.0731 eV per atom


The following is a PBE calculation of a relaxed structure of Ba2Mg3Cd12Hg, from the Alexandria database.

a = 6.9462 Å, b = 6.9462 Å, c = 36.5108 Å
α = 90.00°, β = 90.00°, γ = 120.00°
Space group R-3m (No. 166, hexagonal axes)
Symmetry-distinct sites (fractional):
Ba (0.0000, 0.0000, 0.1428)
Mg (0.0000, 0.5000, 0.0000)
Cd (0.0063, 0.5032, 0.1045)
Cd (0.0522, 0.5261, 0.6152)
Hg (0.0000, 0.0000, 0.5000)

**Density of states at the Fermi level**: 28.088 states/eV/cell
**Calculated volume**: 1526 Å³/cell
**Energy of formation**: -0.06 eV/atom
**Energy**: -1.1682 eV per atom


What is the formula in the second record? BaLuCdHg


Which value of energy does entry 7 give? -1.0731 eV per atom